Record 1
# PBE-GGA MnHPtS, relaxed
# * raw total energy: -22.9 eV per formula unit
data_MnHPtS
_chemical_formula_sum 'Mn2 H2 Pt2 S2'
_cell_length_a 7.6748
_cell_length_b 2.8323
_cell_length_c 4.6017
_cell_angle_alpha 90.00
_cell_angle_beta 99.68
_cell_angle_gamma 90.00
_symmetry_space_group_name_H-M 'C 1 m 1'
_symmetry_Int_Tables_number 8
loop_
_symmetry_equiv_pos_as_xyz
'x,y,z'
'x,-y,z'
'x+1/2,y+1/2,z'
'x+1/2,-y+1/2,z'
loop_
_atom_site_label
_atom_site_fract_x
_atom_site_fract_y
_atom_site_fract_z
Mn1 0.0000 0.0000 0.0000
H1 0.4227 0.5000 0.6055
Pt1 0.0410 0.5000 0.4825
S1 0.2077 0.5000 0.9778

Record 2
# PBE-GGA Sr2ZrIn, relaxed
# * E_form: 6.446 kcal/mol of atoms
data_Sr2ZrIn
_chemical_formula_sum 'Sr2 Zr1 In1'
_cell_length_a 5.9651
_cell_length_b 5.9651
_cell_length_c 3.8176
_cell_angle_alpha 90.00
_cell_angle_beta 90.00
_cell_angle_gamma 90.00
_symmetry_space_group_name_H-M 'P 4/m m m'
_symmetry_Int_Tables_number 123
_symmetry_space_group_name_Hall '-P 4 2'
loop_
_atom_site_label
_atom_site_fract_x
_atom_site_fract_y
_atom_site_fract_z
Sr1 0.0000 0.5000 0.0000
Zr1 0.0000 0.0000 0.5000
In1 0.5000 0.5000 0.5000